# Ta2CrPt

Ta2CrPt after structural relaxation (GGA-PBE, the Alexandria database).

SG = Imm2 (44)
VASP energy = -40.1 eV/cell
ΔH_f (0 K) = -0.179 eV/atom

Cell and atoms, written as POSCAR:
```
Ta2CrPt
1.0
-1.3287 -4.9215 -0.9875
3.0047 -2.5533 -3.3785
0.1445 2.6133 4.4846
Cr Pt Ta
1 1 2
Cartesian
0.8606 -3.8384 -2.2420 Cr
1.9988 -1.8619 -0.5521 Pt
1.6683 -7.4407 -4.3461 Ta
-0.1934 -2.9325 0.7098 Ta
```